Entry one
Tm2Pd2O5 | PBE | optimized geometry

Cell: 3.8746 3.8746 8.3763 Å, 90.00 90.00 90.00°
Closest atoms and distances in Å follow each position.
Sites, in units of the cell vectors:
Tm  0.0000  0.0000  0.2497  5 O 2.09-2.13
Tm  0.0000  0.0000  0.7503  5 O 2.09-2.13
Pd  0.5000  0.5000  0.0000  4 O 2.74
Pd  0.5000  0.5000  0.5000  8 O 2.28
O  0.0000  0.0000  0.0000  2 Tm 2.09
O  0.0000  0.5000  0.3556  2 Tm 2.13, 2 Pd 2.28
O  0.0000  0.5000  0.6444  2 Tm 2.13, 2 Pd 2.28
O  0.5000  0.0000  0.3556  2 Tm 2.13, 2 Pd 2.28
O  0.5000  0.0000  0.6444  2 Tm 2.13, 2 Pd 2.28

Values from the calculation:
The symmetry is P4/mmm. As for the total magnetic moment: 0.80 μB/f.u.


Entry two
Tm2Pd2O5 | PBE | optimized geometry

Cell: 3.9847 3.9847 6.7973 Å, 90.00 90.00 90.00°
Closest atoms and distances in Å follow each position.
Sites, in units of the cell vectors:
Tm  0.0000  0.0000  0.0000  8 O 2.51
Tm  0.0000  0.0000  0.5000  12 O 2.73-2.82
Pd  0.5000  0.5000  0.1899  5 O 2.01-2.11
Pd  0.5000  0.5000  0.8101  5 O 2.01-2.11
O  0.0000  0.5000  0.2253  2 Pd 2.01
O  0.0000  0.5000  0.7747  2 Pd 2.01
O  0.5000  0.0000  0.2253  2 Pd 2.01
O  0.5000  0.0000  0.7747  2 Pd 2.01
O  0.5000  0.5000  0.5000  2 Pd 2.11

Values from the calculation:
The symmetry is P4/mmm. As for the total magnetic moment: 0.00 μB/f.u.


Most stable: entry two


Entry one
Zn2Pd2O5 | PBE | optimized geometry

Cell: 3.9340 3.9340 6.6266 Å, 90.00 90.00 90.00°
Closest atoms and distances in Å follow each position.
Sites, in units of the cell vectors:
Zn  0.0000  0.0000  0.0000  8 O 2.40
Zn  0.0000  0.0000  0.5000  12 O 2.76-2.78
Pd  0.5000  0.5000  0.1948  5 O 1.97-2.02
Pd  0.5000  0.5000  0.8052  5 O 1.97-2.02
O  0.0000  0.5000  0.2081  2 Pd 1.97
O  0.0000  0.5000  0.7919  2 Pd 1.97
O  0.5000  0.0000  0.2081  2 Pd 1.97
O  0.5000  0.0000  0.7919  2 Pd 1.97
O  0.5000  0.5000  0.5000  2 Pd 2.02

Values from the calculation:
The symmetry is P4/mmm.


Entry two
Zn2Pd2O5 | PBE | optimized geometry

Cell: 3.5471 3.5471 8.1544 Å, 90.00 90.00 90.00°
Closest atoms and distances in Å follow each position.
Sites, in units of the cell vectors:
Zn  0.0000  0.0000  0.2386  5 O 1.95-2.00
Zn  0.0000  0.0000  0.7614  5 O 1.95-2.00
Pd  0.5000  0.5000  0.0000  4 O 2.51
Pd  0.5000  0.5000  0.5000  8 O 2.15
O  0.0000  0.0000  0.0000  2 Zn 1.95
O  0.0000  0.5000  0.3512  2 Zn 2.00, 2 Pd 2.15
O  0.0000  0.5000  0.6488  2 Zn 2.00, 2 Pd 2.15
O  0.5000  0.0000  0.3512  2 Zn 2.00, 2 Pd 2.15
O  0.5000  0.0000  0.6488  2 Zn 2.00, 2 Pd 2.15

Values from the calculation:
The symmetry is P4/mmm.


Most stable: entry two


Entry one
PmO | PBE | optimized geometry

Cell: 5.4586 5.4586 5.4586 Å, 90.00 90.00 90.00°
Closest atoms and distances in Å follow each position.
Sites, in units of the cell vectors:
Pm  0.0000  0.0000  0.0000  4 O 2.36
Pm  0.0000  0.5000  0.5000  4 O 2.36
Pm  0.5000  0.0000  0.5000  4 O 2.36
Pm  0.5000  0.5000  0.0000  4 O 2.36
O  0.2500  0.2500  0.2500  4 Pm 2.36
O  0.2500  0.7500  0.7500  4 Pm 2.36
O  0.7500  0.2500  0.7500  4 Pm 2.36
O  0.7500  0.7500  0.2500  4 Pm 2.36

Values from the calculation:
The symmetry is F-43m. As for the total magnetic moment: 0.95 μB/f.u.


Entry two
PmO | PBE | optimized geometry

Cell: 3.3643 3.3643 3.1939 Å, 90.00 90.00 120.00°
Closest atoms and distances in Å follow each position.
Sites, in units of the cell vectors:
Pm  0.0000  0.0000  0.0000  6 O 2.51
O  0.3333  0.6667  0.5000  6 Pm 2.51

Values from the calculation:
The symmetry is P-6m2. As for the total magnetic moment: 0.30 μB/f.u.


Most stable: entry one